1.
Crystalline Mo2AsC at its relaxed geometry. Source: the Open Quantum Materials Database, functional PBE.

Structure (extended XYZ):
```
8
Lattice="3.199 0.000 0.000 -1.600 2.771 0.000 0.000 0.000 12.263" Properties=species:S:1:pos:R:3 pbc="T T T"
As 0.000 1.847 9.197
As 1.600 0.924 3.066
Mo 0.000 1.847 5.035
Mo 0.000 1.847 1.096
Mo 1.600 0.924 7.228
Mo 1.600 0.924 11.167
C 0.000 0.000 0.000
C 0.000 0.000 6.131
```

2.
Crystalline BaCdIn2Ir at its relaxed geometry. Source: the Open Quantum Materials Database, functional PBE.

Structure (extended XYZ):
```
10
Lattice="-0.161 -4.722 -0.615 0.163 -0.621 4.721 -11.783 0.342 0.452" Properties=species:S:1:pos:R:3 pbc="T T T"
Ba -3.059 -0.219 2.481
Ba -8.723 -2.110 0.024
Ir -7.186 -0.099 2.639
Ir -4.595 -2.230 -0.134
Cd 0.001 -2.671 2.053
Cd 0.000 0.000 0.000
In -5.891 0.171 0.226
In -9.882 -0.021 2.743
In -1.900 -2.308 -0.238
In -5.890 -2.500 2.279
```

VASP energy, record by record: -8.94; -3.73 eV/atom